[1]
The following is a DFT calculation (meta-GGA SCAN) of a crystal of CaZn3Os relaxed with PBEsol.

a b c (Å): 4.9210 4.9210 4.9210
angles (deg): 90.00 90.00 90.00
Last column: nearest neighbours and their distance in Å.
Sites, in units of the cell vectors:
Ca1 0.0000 0.0000 0.0000  6 Zn 2.46
Zn1 0.0000 0.0000 0.5000  2 Ca 2.46
Zn2 0.0000 0.5000 0.0000  2 Ca 2.46
Zn3 0.5000 0.0000 0.0000  2 Ca 2.46
Os1 0.5000 0.5000 0.5000  12 Zn 3.48

Output
Calculated formation energy (kJ/mol of atoms): 202.2
Calculated volume (Å³/atom): 23.834
Total magnetization (μB/cell): 2.48

=====

[2]
The following is a DFT calculation (meta-GGA SCAN) of a crystal of CaZnOs2 relaxed with PBEsol.

a b c (Å): 2.7110 2.7110 8.6059
angles (deg): 90.00 90.00 90.00
Last column: nearest neighbours and their distance in Å.
Sites, in units of the cell vectors:
Ca1 0.0000 0.0000 0.0000  4 Ca 2.71
Zn1 0.0000 0.0000 0.5000  8 Os 2.70, 4 Zn 2.71
Os1 0.5000 0.5000 0.2793  4 Zn 2.70, 4 Os 2.71
Os2 0.5000 0.5000 0.7207  4 Zn 2.70, 4 Os 2.71

Output
Calculated formation energy (kJ/mol of atoms): 56.5
Calculated volume (Å³/atom): 15.812
Total magnetization (μB/cell): 1.26

=====

Among the records above, which one has the lowest calculated formation energy? CaZnOs2

=====

calculated volume of number 1 (CaZn3Os)? 23.834 Å³/atom

=====

Number 1 is which compound? CaZn3Os

=====

Among the records above, which one has the highest total magnetization? CaZn3Os